First-principles (PBE-GGA) data for ErBrO after structural relaxation, as listed in the Alexandria database.

The space group is P3m1 (No. 156) and the conventional cell measures 3.6623, 3.6623 and 5.8914 Å, with angles of 90.00, 90.00 and 120.00 degrees. The inequivalent atoms are Er at (0.0000, 0.0000, 0.0000), Br at (0.3333, 0.6667, 0.6576) and O at (0.6667, 0.3333, 0.0958).

The raw formation energy comes out at -2.7449 eV per atom. For the mass density, the calculation gives 6.4 g/cm3. The value obtained for the density of states at the Fermi level is 0.000 states/eV per atom. The calculation puts the total energy at -6.476 eV per atom. The value obtained for the total magnetization is 0.000 μB/cell. As for the calculated volume: 22.81 Å³ per atom.

First-principles (PBE-GGA) data for Pr5Sn2C after structural relaxation, as listed in the Alexandria database.

The space group is Cmcm (No. 63) and the conventional cell measures 5.550, 11.140 and 15.908 Å, with angles of 90.00, 90.00 and 90.00 degrees. The inequivalent atoms are Pr at (0.000, 0.100, 0.133), Pr at (0.000, 0.251, 0.750), Pr at (0.000, 0.399, 0.133), Sn at (0.000, 0.250, 0.553) and C at (0.000, 0.249, 0.250).

The calculation puts the formation enthalpy at 0 K at -28 kJ per mole of atoms. For the mass density, the calculation gives 6.4 g/cm3. The value obtained for the density of states at the Fermi level is 1.044 states/eV per atom. The calculation puts the total energy at -5.430 eV per atom. The value obtained for the total magnetization is 0.000 μB/cell. As for the calculated volume: 30.74 Å³ per atom.

First-principles (PBE-GGA) data for Nd2Ga5Cu2 after structural relaxation, as listed in the Alexandria database.

The space group is P4/mmm (No. 123) and the conventional cell measures 4.272, 4.272 and 9.620 Å, with angles of 90.00, 90.00 and 90.00 degrees. The inequivalent atoms are Nd at (0.000, 0.000, 0.000), Nd at (0.000, 0.000, 0.500), Ga at (0.000, 0.500, 0.239), Ga at (0.500, 0.500, 0.000) and Cu at (0.500, 0.500, 0.377).

The calculation puts the formation enthalpy at 0 K at -40 kJ per mole of atoms. For the mass density, the calculation gives 7.2 g/cm3. The value obtained for the density of states at the Fermi level is 0.284 states/eV per atom. The calculation puts the total energy at -4.063 eV per atom. The value obtained for the total magnetization is 0.000 μB/cell. As for the calculated volume: 19.51 Å³ per atom.

First-principles (PBE-GGA) data for HfAl3Mo after structural relaxation, as listed in the Alexandria database.

The space group is I4mm (No. 107) and the conventional cell measures 3.720, 3.720 and 13.055 Å, with angles of 90.00, 90.00 and 90.00 degrees. The inequivalent atoms are Hf at (0.000, 0.000, 0.000), Al at (0.000, 0.000, 0.388), Al at (0.000, 0.500, 0.235) and Mo at (0.000, 0.000, 0.591).

The calculation puts the formation enthalpy at 0 K at -7 kJ per mole of atoms. For the mass density, the calculation gives 6.5 g/cm3. The value obtained for the density of states at the Fermi level is 0.310 states/eV per atom. The calculation puts the total energy at -6.476 eV per atom. The value obtained for the total magnetization is 0.000 μB/cell. The calculation puts the energy relative to the lowest polymorph listed for this composition at 0 meV per atom. As for the calculated volume: 18.07 Å³ per atom.

First-principles (PBE-GGA) data for Ce3Th2Ru2 after structural relaxation, as listed in the Alexandria database.

The space group is C2/m (No. 12) and the conventional cell measures 11.539, 3.742 and 8.727 Å, with angles of 90.00, 109.11 and 90.00 degrees. The inequivalent atoms are Ce at (0.000, 0.000, 0.000), Ce at (0.120, 0.000, 0.441), Th at (0.168, 0.500, 0.807) and Ru at (0.136, 0.500, 0.213).

The calculation puts the formation enthalpy at 0 K at -27 kJ per mole of atoms. For the mass density, the calculation gives 10.1 g/cm3. The value obtained for the density of states at the Fermi level is 1.739 states/eV per atom. The calculation puts the total energy at -7.591 eV per atom. The value obtained for the total magnetization is 0.000 μB/cell. The calculation puts the energy relative to the lowest polymorph listed for this composition at 0 meV per atom. As for the calculated volume: 25.43 Å³ per atom.

First-principles (PBE-GGA) data for ScV2SiP after structural relaxation, as listed in the Alexandria database.

The space group is P4/mmm (No. 123) and the conventional cell measures 4.562, 4.562 and 4.772 Å, with angles of 90.00, 90.00 and 90.00 degrees. The inequivalent atoms are Sc at (0.000, 0.000, 0.000), V at (0.000, 0.500, 0.000), Si at (0.000, 0.000, 0.500) and P at (0.500, 0.500, 0.500).

The raw formation energy comes out at 1.6265 eV per atom. For the mass density, the calculation gives 3.4 g/cm3. The value obtained for the density of states at the Fermi level is 1.040 states/eV per atom. The calculation puts the total energy at -5.454 eV per atom. The value obtained for the total magnetization is 3.083 μB/cell. The calculation puts the energy relative to the lowest polymorph listed for this composition at 1575 meV per atom. As for the calculated volume: 19.86 Å³ per atom.

First-principles (PBE-GGA) data for Pr6SmYTm2 after structural relaxation, as listed in the Alexandria database.

The space group is C2/c (No. 15) and the conventional cell measures 9.351, 15.368 and 9.737 Å, with angles of 90.00, 97.58 and 90.00 degrees. The inequivalent atoms are Pr at (0.063, 0.175, 0.445), Pr at (0.096, 0.391, 0.619), Pr at (0.215, 0.224, 0.815), Sm at (0.000, 0.030, 0.750), Y at (0.000, 0.410, 0.250) and Tm at (0.249, 0.048, 0.048).

The calculation puts the formation enthalpy at 0 K at 11 kJ per mole of atoms. For the mass density, the calculation gives 6.8 g/cm3. The value obtained for the density of states at the Fermi level is 1.483 states/eV per atom. The calculation puts the total energy at -4.769 eV per atom. The value obtained for the total magnetization is 0.000 μB/cell. As for the calculated volume: 34.67 Å³ per atom.

First-principles (PBE-GGA) data for Hg2PbBr after structural relaxation, as listed in the Alexandria database.

The space group is I-4m2 (No. 119) and the conventional cell measures 4.833, 4.833 and 9.914 Å, with angles of 90.00, 90.00 and 90.00 degrees. The inequivalent atoms are Hg at (0.000, 0.000, 0.000), Hg at (0.000, 0.500, 0.250), Pb at (0.000, 0.500, 0.750) and Br at (0.000, 0.000, 0.500).

The raw formation energy comes out at -0.1406 eV per atom. For the mass density, the calculation gives 9.9 g/cm3. The value obtained for the density of states at the Fermi level is 0.423 states/eV per atom. The calculation puts the total energy at -1.637 eV per atom. The value obtained for the total magnetization is 0.000 μB/cell. The calculation puts the energy relative to the lowest polymorph listed for this composition at 70 meV per atom. As for the calculated volume: 28.94 Å³ per atom.

First-principles (PBE-GGA) data for YHgW after structural relaxation, as listed in the Alexandria database.

The space group is F-43m (No. 216) and the conventional cell measures 6.891, 6.891 and 6.891 Å, with angles of 90.00, 90.00 and 90.00 degrees. The inequivalent atoms are Y at (0.000, 0.000, 0.000), Hg at (0.250, 0.250, 0.750) and W at (0.250, 0.250, 0.250).

The calculation puts the formation enthalpy at 0 K at 131 kJ per mole of atoms. For the mass density, the calculation gives 9.6 g/cm3. The value obtained for the density of states at the Fermi level is 0.502 states/eV per atom. The calculation puts the total energy at -5.215 eV per atom. The value obtained for the total magnetization is 12.286 μB/cell. The calculation puts the energy relative to the lowest polymorph listed for this composition at 919 meV per atom. As for the calculated volume: 27.27 Å³ per atom.

First-principles (PBE-GGA) data for TiRe2P after structural relaxation, as listed in the Alexandria database.

The space group is I-42d (No. 122) and the conventional cell measures 7.375, 7.375 and 4.788 Å, with angles of 90.00, 90.00 and 90.00 degrees. The inequivalent atoms are Ti at (0.000, 0.000, 0.000), Re at (0.164, 0.250, 0.625) and P at (0.000, 0.000, 0.500).

The calculation puts the formation enthalpy at 0 K at 13 kJ per mole of atoms. For the mass density, the calculation gives 11.5 g/cm3. The value obtained for the density of states at the Fermi level is 0.996 states/eV per atom. The calculation puts the total energy at -9.419 eV per atom. The value obtained for the total magnetization is 0.000 μB/cell. As for the calculated volume: 16.28 Å³ per atom.

First-principles (PBE-GGA) data for CaHg2Os after structural relaxation, as listed in the Alexandria database.

The space group is P4/mmm (No. 123) and the conventional cell measures 3.206, 3.206 and 8.119 Å, with angles of 90.00, 90.00 and 90.00 degrees. The inequivalent atoms are Ca at (0.000, 0.000, 0.000), Hg at (0.500, 0.500, 0.275) and Os at (0.000, 0.000, 0.500).

The calculation puts the formation enthalpy at 0 K at 44 kJ per mole of atoms. For the mass density, the calculation gives 12.6 g/cm3. The value obtained for the density of states at the Fermi level is 0.849 states/eV per atom. The calculation puts the total energy at -3.005 eV per atom. The value obtained for the total magnetization is 1.083 μB/cell. As for the calculated volume: 20.86 Å³ per atom.

First-principles (PBE-GGA) data for BaCaAlSb2 after structural relaxation, as listed in the Alexandria database.

The space group is Cmme (No. 67) and the conventional cell measures 6.993, 15.137 and 6.398 Å, with angles of 90.00, 90.00 and 90.00 degrees. The inequivalent atoms are Ba at (0.000, 0.250, 0.238), Ca at (0.250, 0.000, 0.500), Al at (0.000, 0.000, 0.000) and Sb at (0.000, 0.139, 0.749).

The raw formation energy comes out at -0.5481 eV per atom. For the mass density, the calculation gives 4.4 g/cm3. The value obtained for the density of states at the Fermi level is 0.553 states/eV per atom. The calculation puts the total energy at -3.730 eV per atom. The value obtained for the total magnetization is 0.000 μB/cell. As for the calculated volume: 33.86 Å³ per atom.

First-principles (PBE-GGA) data for Zr2HSe after structural relaxation, as listed in the Alexandria database.

The space group is Fm-3m (No. 225) and the conventional cell measures 6.409, 6.409 and 6.409 Å, with angles of 90.00, 90.00 and 90.00 degrees. The inequivalent atoms are Zr at (0.250, 0.250, 0.250), H at (0.000, 0.000, 0.000) and Se at (0.000, 0.000, 0.500).

For the mass density, the calculation gives 6.6 g/cm3. The value obtained for the density of states at the Fermi level is 0.498 states/eV per atom. The calculation puts the total energy at -6.286 eV per atom. The value obtained for the total magnetization is 0.000 μB/cell. The calculation puts the energy relative to the lowest polymorph listed for this composition at 537 meV per atom. As for the calculated volume: 16.45 Å³ per atom.